No. 1
Below is crystalline Li2Mg3ZnAg3 at its relaxed geometry, with properties calculated at the GGA-PBE level.

Unit cell a=2.924 b=7.897 c=7.897 alpha=120.00 beta=90.00 gamma=90.00
Sites, in units of the cell vectors:
1 Li 0.500 0.667 0.333
2 Li 0.500 0.333 0.667
3 Mg 0.500 0.690 0.000
4 Mg 0.500 0.000 0.690
5 Mg 0.500 0.310 0.310
6 Zn 0.000 0.000 0.000
7 Ag 0.000 0.640 0.640
8 Ag 0.000 0.000 0.360
9 Ag 0.000 0.360 0.000

## Properties
DFT formation energy: -0.16 eV/atom
Space group: P-62m, No. 189


No. 2
Below is crystalline BRuSe2 at its relaxed geometry, with properties calculated at the GGA-PBE level.

Unit cell a=5.332 b=5.332 c=6.137 alpha=64.25 beta=64.25 gamma=90.00
Sites, in units of the cell vectors:
1 Ru 0.000 0.000 0.000
2 Ru 0.750 0.250 0.500
3 B 0.500 0.500 0.000
4 B 0.250 0.750 0.500
5 Se 0.576 0.125 0.250
6 Se 0.174 0.625 0.250
7 Se 0.375 0.424 0.750
8 Se 0.875 0.826 0.750

## Properties
Space group: I-42d, No. 122
Raw formation energy: 288 meV/atom


Copy entry 2 word for word.
Below is crystalline BRuSe2 at its relaxed geometry, with properties calculated at the GGA-PBE level.

Unit cell a=5.332 b=5.332 c=6.137 alpha=64.25 beta=64.25 gamma=90.00
Sites, in units of the cell vectors:
1 Ru 0.000 0.000 0.000
2 Ru 0.750 0.250 0.500
3 B 0.500 0.500 0.000
4 B 0.250 0.750 0.500
5 Se 0.576 0.125 0.250
6 Se 0.174 0.625 0.250
7 Se 0.375 0.424 0.750
8 Se 0.875 0.826 0.750

## Properties
Space group: I-42d, No. 122
Raw formation energy: 288 meV/atom